{"formula": "Al2CoTeO8", "functional": "GGA+U", "state": "optimized geometry", "final_energy_ev_per_atom": -6.35, "cell": [[-1.857, 2.383, -3.299], [-1.541, -3.850, -1.674], [-4.896, 0.579, 3.174]], "species": ["O", "O", "O", "O", "O", "Co", "O", "Te", "Al", "Al", "O", "O"], "frac_coords": [[0.301, 0.301, 0.500], [0.805, 0.195, 0.746], [0.687, 0.688, 0.000], [0.805, 0.195, 0.254], [0.195, 0.805, 0.746], [0.000, 0.000, 0.500], [0.699, 0.699, 0.500], [0.000, 0.000, 0.000], [0.500, 0.500, 0.741], [0.500, 0.500, 0.259], [0.313, 0.312, 0.000], [0.195, 0.805, 0.254]]}